(1)
Sm3ScHg2 | PBE-GGA | relaxed

## Properties
Total moment (Bohr magnetons per cell): 0.00
Polymorph energy (0 for the lowest one) (meV/atom): 269.8
E_tot (eV per atom): -3.557

a = 7.1560 Å, b = 14.5120 Å, c = 7.4886 Å
α = 90.00°, β = 90.00°, γ = 90.00°
Space group Ibam (No. 72)
Symmetry-distinct sites (fractional):
1 Sm 0.0000 0.0000 0.2500 [4 per cell]
2 Sm 0.0000 0.2751 0.2500 [8 per cell]
3 Sc 0.0000 0.5000 0.0000 [4 per cell]
4 Hg 0.2082 0.1350 0.0000 [8 per cell]

***

(2)
SmSc3Hg2 | PBE-GGA | relaxed

## Properties
Total moment (Bohr magnetons per cell): 0.00
E_tot (eV per atom): -4.379

a = 4.8841 Å, b = 8.8081 Å, c = 6.8430 Å
α = 90.00°, β = 90.00°, γ = 90.00°
Space group Pmc2_1 (No. 26)
Symmetry-distinct sites (fractional):
1 Sm 0.0000 0.0523 0.0000 [2 per cell]
2 Sc 0.0000 0.3324 0.6581 [2 per cell]
3 Sc 0.5000 0.1869 0.3126 [2 per cell]
4 Sc 0.5000 0.4483 0.9696 [2 per cell]
5 Hg 0.0000 0.3550 0.2351 [2 per cell]
6 Hg 0.5000 0.1556 0.7363 [2 per cell]

***

(3)
SmScSnHg | PBE-GGA | relaxed

## Properties
Total moment (Bohr magnetons per cell): 0.00
E_tot (eV per atom): -4.361

a = 7.3713 Å, b = 7.3713 Å, c = 7.3713 Å
α = 90.00°, β = 90.00°, γ = 90.00°
Space group F-43m (No. 216)
Symmetry-distinct sites (fractional):
1 Sm 0.0000 0.0000 0.0000 [4 per cell]
2 Sc 0.0000 0.0000 0.5000 [4 per cell]
3 Sn 0.2500 0.2500 0.7500 [4 per cell]
4 Hg 0.2500 0.2500 0.2500 [4 per cell]

***

(4)
TbSmSc2Hg4 | PBE-GGA | relaxed

## Properties
Total moment (Bohr magnetons per cell): 2.83
E_tot (eV per atom): -3.342

a = 5.1611 Å, b = 5.1611 Å, c = 25.3442 Å
α = 90.00°, β = 90.00°, γ = 120.00°
Space group R-3m (No. 166, hexagonal axes)
Symmetry-distinct sites (fractional):
1 Tb 0.0000 0.0000 0.0000 [3 per cell]
2 Sm 0.0000 0.0000 0.5000 [3 per cell]
3 Sc 0.0000 0.0000 0.2502 [6 per cell]
4 Hg 0.0000 0.0000 0.1236 [6 per cell]
5 Hg 0.0000 0.0000 0.3738 [6 per cell]

***

(5)
SmScTcHg | PBE-GGA | relaxed

## Properties
Total moment (Bohr magnetons per cell): 0.00
E_tot (eV per atom): -5.546

a = 7.0159 Å, b = 7.0159 Å, c = 7.0159 Å
α = 90.00°, β = 90.00°, γ = 90.00°
Space group F-43m (No. 216)
Symmetry-distinct sites (fractional):
1 Sm 0.0000 0.0000 0.0000 [4 per cell]
2 Sc 0.0000 0.0000 0.5000 [4 per cell]
3 Tc 0.2500 0.2500 0.7500 [4 per cell]
4 Hg 0.2500 0.2500 0.2500 [4 per cell]

***

(6)
SmScTlHg | PBE-GGA | relaxed

## Properties
Total moment (Bohr magnetons per cell): 3.06
E_tot (eV per atom): -3.804

a = 7.4181 Å, b = 7.4181 Å, c = 7.4181 Å
α = 90.00°, β = 90.00°, γ = 90.00°
Space group F-43m (No. 216)
Symmetry-distinct sites (fractional):
1 Sm 0.0000 0.0000 0.0000 [4 per cell]
2 Sc 0.0000 0.0000 0.5000 [4 per cell]
3 Tl 0.2500 0.2500 0.7500 [4 per cell]
4 Hg 0.2500 0.2500 0.2500 [4 per cell]

***

(7)
SmTm2ScHg4 | PBE-GGA | relaxed

## Properties
Total moment (Bohr magnetons per cell): 0.22
E_tot (eV per atom): -3.098

a = 5.1715 Å, b = 5.1715 Å, c = 25.6482 Å
α = 90.00°, β = 90.00°, γ = 120.00°
Space group R-3m (No. 166, hexagonal axes)
Symmetry-distinct sites (fractional):
1 Sm 0.0000 0.0000 0.0000 [3 per cell]
2 Tm 0.0000 0.0000 0.2477 [6 per cell]
3 Sc 0.0000 0.0000 0.5000 [3 per cell]
4 Hg 0.0000 0.0000 0.1275 [6 per cell]
5 Hg 0.0000 0.0000 0.3800 [6 per cell]

***

(8)
SmTmScHg | PBE-GGA | relaxed

## Properties
Total moment (Bohr magnetons per cell): 2.45
E_tot (eV per atom): -4.030

a = 7.5294 Å, b = 7.5294 Å, c = 7.5294 Å
α = 90.00°, β = 90.00°, γ = 90.00°
Space group F-43m (No. 216)
Symmetry-distinct sites (fractional):
1 Sm 0.0000 0.0000 0.0000 [4 per cell]
2 Tm 0.0000 0.0000 0.5000 [4 per cell]
3 Sc 0.2500 0.2500 0.7500 [4 per cell]
4 Hg 0.2500 0.2500 0.2500 [4 per cell]

***

(9)
SmYScHg | PBE-GGA | relaxed

## Properties
Total moment (Bohr magnetons per cell): 2.51
E_tot (eV per atom): -4.545

a = 7.5779 Å, b = 7.5779 Å, c = 7.5779 Å
α = 90.00°, β = 90.00°, γ = 90.00°
Space group F-43m (No. 216)
Symmetry-distinct sites (fractional):
1 Sm 0.0000 0.0000 0.0000 [4 per cell]
2 Y 0.0000 0.0000 0.5000 [4 per cell]
3 Sc 0.2500 0.2500 0.2500 [4 per cell]
4 Hg 0.2500 0.2500 0.7500 [4 per cell]

***

(10)
Sc2Sn2Hg | PBE-GGA | relaxed

## Properties
Total moment (Bohr magnetons per cell): 0.00
Polymorph energy (0 for the lowest one) (meV/atom): 20.7
E_tot (eV per atom): -4.551

a = 8.4049 Å, b = 8.4049 Å, c = 3.4809 Å
α = 90.00°, β = 90.00°, γ = 90.00°
Space group P4/mbm (No. 127)
Symmetry-distinct sites (fractional):
1 Sc 0.1358 0.3642 0.0000 [4 per cell]
2 Sn 0.1670 0.6670 0.5000 [4 per cell]
3 Hg 0.0000 0.0000 0.0000 [2 per cell]

***

(11)
Sc3SnHg2 | PBE-GGA | relaxed

## Properties
Total moment (Bohr magnetons per cell): 0.48
Polymorph energy (0 for the lowest one) (meV/atom): 0.0
E_tot (eV per atom): -4.413

a = 4.9981 Å, b = 4.9981 Å, c = 6.1485 Å
α = 90.00°, β = 90.00°, γ = 120.00°
Space group P-3m1 (No. 164)
Symmetry-distinct sites (fractional):
1 Sc 0.0000 0.0000 0.0000 [1 per cell]
2 Sc 0.3333 0.6667 0.6597 [2 per cell]
3 Sn 0.0000 0.0000 0.5000 [1 per cell]
4 Hg 0.3333 0.6667 0.1421 [2 per cell]

***

(12)
ScSn2Hg | PBE-GGA | relaxed

## Properties
Total moment (Bohr magnetons per cell): 0.00
E_tot (eV per atom): -3.879

a = 3.9259 Å, b = 3.9259 Å, c = 6.3579 Å
α = 90.00°, β = 90.00°, γ = 90.00°
Space group P4/mmm (No. 123)
Symmetry-distinct sites (fractional):
1 Sc 0.0000 0.0000 0.0000 [1 per cell]
2 Sn 0.5000 0.5000 0.2377 [2 per cell]
3 Hg 0.0000 0.0000 0.5000 [1 per cell]

***

(13)
Sc2Sn2Hg | PBE-GGA | relaxed

## Properties
Total moment (Bohr magnetons per cell): 0.00
Polymorph energy (0 for the lowest one) (meV/atom): 205.1
E_tot (eV per atom): -4.366

a = 4.1125 Å, b = 4.1125 Å, c = 15.1749 Å
α = 90.00°, β = 90.00°, γ = 90.00°
Space group I4/mmm (No. 139)
Symmetry-distinct sites (fractional):
1 Sc 0.0000 0.0000 0.1005 [4 per cell]
2 Sn 0.0000 0.5000 0.2500 [4 per cell]
3 Hg 0.0000 0.0000 0.5000 [2 per cell]

***

(14)
Sc2SnHg | PBE-GGA | relaxed

## Properties
Total moment (Bohr magnetons per cell): 0.00
E_tot (eV per atom): -4.614

a = 3.4878 Å, b = 3.4878 Å, c = 27.0666 Å
α = 90.00°, β = 90.00°, γ = 120.00°
Space group R-3m (No. 166, hexagonal axes)
Symmetry-distinct sites (fractional):
1 Sc 0.0000 0.0000 0.2484 [6 per cell]
2 Sn 0.0000 0.0000 0.0000 [3 per cell]
3 Hg 0.0000 0.0000 0.5000 [3 per cell]

***

(15)
ScSnHg3 | PBE-GGA | relaxed

## Properties
Total moment (Bohr magnetons per cell): 0.00
Polymorph energy (0 for the lowest one) (meV/atom): 0.0
E_tot (eV per atom): -1.841

a = 5.4551 Å, b = 5.4551 Å, c = 5.4551 Å
α = 90.00°, β = 90.00°, γ = 90.00°
Space group Pm-3m (No. 221)
Symmetry-distinct sites (fractional):
1 Sc 0.0000 0.0000 0.0000 [1 per cell]
2 Sn 0.5000 0.5000 0.5000 [1 per cell]
3 Hg 0.0000 0.0000 0.5000 [3 per cell]

***

(16)
Sc4SnHg5 | PBE-GGA | relaxed

## Properties
Total moment (Bohr magnetons per cell): 0.00
E_tot (eV per atom): -3.466

a = 14.9351 Å, b = 4.9670 Å, c = 6.1827 Å
α = 90.00°, β = 105.32°, γ = 90.00°
Space group C2/m (No. 12)
Symmetry-distinct sites (fractional):
1 Sc 0.0923 0.0000 0.3645 [4 per cell]
2 Sc 0.1920 0.5000 0.8071 [4 per cell]
3 Sn 0.0000 0.5000 0.5000 [2 per cell]
4 Hg 0.0000 0.5000 0.0000 [2 per cell]
5 Hg 0.1099 0.0000 0.9002 [4 per cell]
6 Hg 0.2140 0.5000 0.3235 [4 per cell]

***

(17)
Sc2Sn2Hg | PBE-GGA | relaxed

## Properties
Total moment (Bohr magnetons per cell): 0.00
Polymorph energy (0 for the lowest one) (meV/atom): 285.4
E_tot (eV per atom): -4.286

a = 5.5077 Å, b = 5.5077 Å, c = 9.4767 Å
α = 90.00°, β = 90.00°, γ = 90.00°
Space group I4/mmm (No. 139)
Symmetry-distinct sites (fractional):
1 Sc 0.0000 0.5000 0.2500 [4 per cell]
2 Sn 0.0000 0.0000 0.1560 [4 per cell]
3 Hg 0.0000 0.0000 0.5000 [2 per cell]

***

(18)
ScSn2Hg | PBE-GGA | relaxed

## Properties
Total moment (Bohr magnetons per cell): 0.00
E_tot (eV per atom): -3.494

a = 4.8458 Å, b = 4.8458 Å, c = 23.2393 Å
α = 90.00°, β = 90.00°, γ = 120.00°
Space group R-3m (No. 166, hexagonal axes)
Symmetry-distinct sites (fractional):
1 Sc 0.0000 0.0000 0.0000 [3 per cell]
2 Sn 0.0000 0.0000 0.3754 [6 per cell]
3 Hg 0.0000 0.0000 0.5000 [3 per cell]

***

(19)
ScSn2Hg | PBE-GGA | relaxed

## Properties
Total moment (Bohr magnetons per cell): 0.00
E_tot (eV per atom): -3.726

a = 8.1098 Å, b = 8.1098 Å, c = 6.2197 Å
α = 90.00°, β = 90.00°, γ = 90.00°
Space group I-42d (No. 122)
Symmetry-distinct sites (fractional):
1 Sc 0.0000 0.0000 0.0000 [4 per cell]
2 Sn 0.2337 0.2500 0.6250 [8 per cell]
3 Hg 0.0000 0.0000 0.5000 [4 per cell]

***

(20)
Sc5Sn2Hg2 | PBE-GGA | relaxed

## Properties
Total moment (Bohr magnetons per cell): 0.00
E_tot (eV per atom): -4.931

a = 14.6657 Å, b = 7.8493 Å, c = 7.4381 Å
α = 90.00°, β = 90.00°, γ = 90.00°
Space group Cmce (No. 64)
Symmetry-distinct sites (fractional):
1 Sc 0.0000 0.0000 0.0000 [4 per cell]
2 Sc 0.1354 0.1733 0.3345 [16 per cell]
3 Sn 0.2068 0.0000 0.0000 [8 per cell]
4 Hg 0.0000 0.1341 0.6340 [8 per cell]

***

(21)
Sc2SnHg | PBE-GGA | relaxed

## Properties
Total moment (Bohr magnetons per cell): 0.70
E_tot (eV per atom): -4.739

a = 4.6453 Å, b = 4.6453 Å, c = 4.1195 Å
α = 90.00°, β = 90.00°, γ = 90.00°
Space group P4/mmm (No. 123)
Symmetry-distinct sites (fractional):
1 Sc 0.0000 0.5000 0.0000 [2 per cell]
2 Sn 0.0000 0.0000 0.5000 [1 per cell]
3 Hg 0.5000 0.5000 0.5000 [1 per cell]

***

(22)
Sc4SnHg | PBE-GGA | relaxed

## Properties
Total moment (Bohr magnetons per cell): 0.00
E_tot (eV per atom): -5.140

a = 15.8698 Å, b = 5.6673 Å, c = 6.8687 Å
α = 90.00°, β = 101.30°, γ = 90.00°
Space group C2/c (No. 15)
Symmetry-distinct sites (fractional):
1 Sc 0.0715 0.1188 0.4313 [8 per cell]
2 Sc 0.1484 0.3749 0.1058 [8 per cell]
3 Sn 0.0000 0.3741 0.7500 [4 per cell]
4 Hg 0.2500 0.2500 0.5000 [4 per cell]

***

(23)
Sc2SnHg2 | PBE-GGA | relaxed

## Properties
Total moment (Bohr magnetons per cell): 0.00
Polymorph energy (0 for the lowest one) (meV/atom): 107.4
E_tot (eV per atom): -3.724

a = 7.9027 Å, b = 7.9027 Å, c = 3.8245 Å
α = 90.00°, β = 90.00°, γ = 90.00°
Space group P4/mbm (No. 127)
Symmetry-distinct sites (fractional):
1 Sc 0.1580 0.3420 0.0000 [4 per cell]
2 Sn 0.0000 0.0000 0.0000 [2 per cell]
3 Hg 0.1423 0.6423 0.5000 [4 per cell]

***

(24)
Sc4SnHg3 | PBE-GGA | relaxed

## Properties
Total moment (Bohr magnetons per cell): 3.13
E_tot (eV per atom): -4.244

a = 4.9930 Å, b = 4.9930 Å, c = 24.5614 Å
α = 90.00°, β = 90.00°, γ = 120.00°
Space group R-3m (No. 166, hexagonal axes)
Symmetry-distinct sites (fractional):
1 Sc 0.0000 0.0000 0.1247 [6 per cell]
2 Sc 0.0000 0.0000 0.3752 [6 per cell]
3 Sn 0.0000 0.0000 0.0000 [3 per cell]
4 Hg 0.0000 0.0000 0.2456 [6 per cell]
5 Hg 0.0000 0.0000 0.5000 [3 per cell]

***

(25)
Sc5SnHg | PBE-GGA | relaxed

## Properties
Total moment (Bohr magnetons per cell): 0.00
E_tot (eV per atom): -5.349

a = 7.9765 Å, b = 8.1420 Å, c = 10.4118 Å
α = 90.00°, β = 100.62°, γ = 90.00°
Space group C2/c (No. 15)
Symmetry-distinct sites (fractional):
1 Sc 0.0000 0.1223 0.2500 [4 per cell]
2 Sc 0.1236 0.3644 0.5260 [8 per cell]
3 Sc 0.2011 0.2127 0.8436 [8 per cell]
4 Sn 0.0000 0.4811 0.2500 [4 per cell]
5 Hg 0.0000 0.0000 0.0000 [4 per cell]